1.
TaNb3C4: optimized geometry, PBE-GGA.

Cell and atoms, written as POSCAR:
```
TaNb3C4
1.0
3.1775 0.0000 0.0000
0.0000 5.2175 -1.7758
0.0000 -0.0403 5.5113
C Nb Ta
4 3 1
Cartesian
0.0000 1.2759 0.9206 C
1.5888 1.2646 3.7028 C
1.5888 3.9126 0.0327 C
0.0000 3.9013 2.8149 C
0.0000 -0.0202 2.7557 Nb
1.5888 2.5886 1.8677 Nb
0.0000 2.6088 -0.8879 Nb
1.5888 0.0000 0.0000 Ta
```

Computed properties:
Total moment, μB per atom: 0.0000
Symmetry: Cmmm, No. 65
DFT formation energy, eV per atom: -0.505
Mass density, g/cm3: 9.250

---

2.
ZnPtPb2: optimized geometry, PBE-GGA.

Cell and atoms, written as POSCAR:
```
ZnPtPb2
1.0
-2.3429 2.7642 -2.9755
-3.5272 -3.0878 -0.0912
-6.8339 4.0846 5.4814
Zn Pb Pt
2 4 2
Cartesian
-2.9350 -0.1618 -1.5334 Zn
-6.6480 0.4175 1.9284 Zn
-3.6279 2.3796 -0.5188 Pb
-10.2831 2.7616 1.4271 Pb
-4.1916 -0.5799 0.9594 Pb
-7.3053 2.9608 2.9616 Pb
-6.0559 3.3435 0.4863 Pt
0.0000 0.0000 0.0000 Pt
```

Computed properties:
Total moment, μB per atom: 0.0000
Symmetry: I-42d, No. 122
DFT formation energy, eV per atom: 0.198
Mass density, g/cm3: 11.229

---

3.
Ac2PuReN4: optimized geometry, PBE-GGA.

Cell and atoms, written as POSCAR:
```
Ac2PuReN4
1.0
3.5345 0.0000 0.0000
-1.7672 6.3762 0.0000
0.0000 0.0000 12.8973
Pu Ac N Re
2 4 8 2
Cartesian
0.0000 1.6539 9.6729 Pu
1.7672 4.7223 3.2243 Pu
1.7672 1.6913 0.5043 Ac
0.0000 4.6849 12.3929 Ac
0.0000 4.6849 6.9530 Ac
1.7672 1.6913 5.9443 Ac
0.0000 3.5863 4.5241 N
0.0000 0.0000 6.4486 N
0.0000 5.2123 9.6729 N
1.7672 2.7899 8.3732 N
1.7672 1.1639 3.2243 N
1.7672 2.7899 10.9727 N
0.0000 3.5863 1.9245 N
0.0000 0.0000 0.0000 N
0.0000 2.0099 3.2243 Re
1.7672 4.3663 9.6729 Re
```

Computed properties:
Total moment, μB per atom: 0.6244
Symmetry: Cmcm, No. 63
ΔE_f (raw), meV/atom: -570
Mass density, g/cm3: 10.743

---

4.
Rb2Hg2Pt: optimized geometry, PBE-GGA.

Cell and atoms, written as POSCAR:
```
Rb2Hg2Pt
1.0
-2.9667 -4.0012 -5.6265
4.4982 -5.7660 1.7286
-3.9710 -2.0361 3.5418
Pt Rb Hg
2 4 4
Cartesian
0.0000 0.0000 0.0000 Pt
0.7658 -4.8836 -1.9489 Pt
0.5333 -5.6212 1.9487 Rb
-0.2853 -8.4738 -0.6091 Rb
-2.1541 -3.3295 0.2530 Rb
-2.9728 -6.1821 -2.3048 Rb
1.0947 -2.6101 -0.2731 Hg
2.7780 -6.2561 -0.4818 Hg
-1.2465 -3.5111 -3.4160 Hg
0.4368 -7.1571 -3.6247 Hg
```

Computed properties:
Total moment, μB per atom: 0.0000
Symmetry: P4/mbm, No. 127
DFT formation energy, eV per atom: -0.112
Mass density, g/cm3: 7.920
Excess energy over the best structure of this formula in the dataset, meV/atom: 79.3

---

5.
LiPaFe: optimized geometry, PBE-GGA.

Cell and atoms, written as POSCAR:
```
LiPaFe
1.0
4.8811 -0.0126 -0.0402
2.4467 4.5551 -0.7149
0.0415 1.8835 4.3943
Li Fe Pa
2 2 2
Cartesian
1.2340 2.2411 1.0228 Li
6.1353 4.1850 2.6163 Li
3.6725 1.1676 1.2371 Fe
3.6968 5.2585 2.4019 Fe
3.6720 3.8536 0.2091 Pa
3.6973 2.5725 3.4300 Pa
```

Computed properties:
Total moment, μB per atom: 0.0000
Symmetry: C2/m, No. 12
DFT formation energy, eV per atom: -0.015
Mass density, g/cm3: 9.362

---

6.
V2Ge3Mo: optimized geometry, PBE-GGA.

Cell and atoms, written as POSCAR:
```
V2Ge3Mo
1.0
-4.3474 -1.3982 -1.5121
3.0563 -6.0854 2.0876
-1.4615 5.2090 4.6327
V Ge Mo
4 6 2
Cartesian
1.5551 -5.3992 1.9429 V
-1.4594 -3.9964 1.6605 V
-1.2932 1.7217 3.5476 V
-4.3077 3.1246 3.2652 V
1.5282 -3.0427 1.0438 Ge
-1.0052 -1.8073 0.5220 Ge
-1.7474 -0.4674 4.6861 Ge
-4.0297 -0.3795 0.2452 Ge
1.2771 -1.8951 4.9629 Ge
-2.9044 1.9054 1.5603 Ge
-2.6725 -0.9636 2.3440 Mo
-0.0801 -1.3111 2.8642 Mo
```

Computed properties:
Total moment, μB per atom: 0.0016
Symmetry: C2/c, No. 15
DFT formation energy, eV per atom: 0.077
Mass density, g/cm3: 7.534

---

7.
Zn2CuTc: optimized geometry, PBE-GGA.

Cell and atoms, written as POSCAR:
```
Zn2CuTc
1.0
4.4235 0.0000 0.0000
0.0000 2.7184 -0.1882
0.0000 0.3173 4.5870
Cu Tc Zn
1 1 2
Cartesian
0.0000 1.8417 1.9371 Cu
2.2117 1.9552 3.5907 Tc
0.0000 0.6354 4.2555 Zn
2.2117 0.4385 1.4018 Zn
```

Computed properties:
Total moment, μB per atom: 0.0000
Symmetry: Pmm2, No. 25
DFT formation energy, eV per atom: 0.081
Mass density, g/cm3: 8.760
Excess energy over the best structure of this formula in the dataset, meV/atom: 75.8

---

8.
FeRe2Au: optimized geometry, PBE-GGA.

Cell and atoms, written as POSCAR:
```
FeRe2Au
1.0
-0.8769 -0.4644 -2.4686
1.2385 -2.1476 0.9656
-7.9043 -3.0389 3.3795
Re Fe Au
2 1 1
Cartesian
-4.1300 -1.5878 1.7658 Re
-7.7265 -2.9705 3.3035 Re
-5.7475 -3.5852 1.7831 Fe
-1.7953 -2.0658 0.0934 Au
```

Computed properties:
Total moment, μB per atom: 0.6451
Symmetry: Cmmm, No. 65
DFT formation energy, eV per atom: 0.398
Mass density, g/cm3: 17.167
Excess energy over the best structure of this formula in the dataset, meV/atom: 179.7

---

Values of calculated total energy, in order: -10.375; -3.485; -9.107; -1.828; -6.639; -7.076; -4.171; -8.761, all in eV per atom.